Entry 1:
VASP calculation (GGA-PBE) on an optimized crystal structure of PmCo4Ni.

Cell: 6.9583 6.9583 6.9583 Å, 90.00 90.00 90.00°
Space group F-43m (No. 216)
Inequivalent atoms, fractional coordinates:
Pm (0.0000, 0.0000, 0.0000) [4 per cell]
Co (0.1234, 0.1234, 0.6234) [16 per cell]
Ni (0.2500, 0.2500, 0.2500) [4 per cell]

Output
The calculation puts the total magnetic moment at 1.1063 μB/atom. As for the crystal system: cubic. The calculation puts the formation energy from the elements at 1.24 kcal/mol of atoms.



Entry 2:
VASP calculation (GGA-PBE) on an optimized crystal structure of YAg5Pd6.

Cell: 4.8487 6.0412 7.0937 Å, 90.00 95.96 90.00°
Space group P2/m (No. 10)
Inequivalent atoms, fractional coordinates:
Y (0.0000, 0.0000, 0.0000) [1 per cell]
Ag (0.0000, 0.5000, 0.0000) [1 per cell]
Ag (0.3398, 0.5000, 0.6696) [2 per cell]
Ag (0.3448, 0.0000, 0.6635) [2 per cell]
Pd (0.1597, 0.2529, 0.3354) [4 per cell]
Pd (0.5000, 0.2556, 0.0000) [2 per cell]

Output
The calculation puts the total magnetic moment at 0.0000 μB/atom. As for the crystal system: monoclinic. The calculation puts the formation energy from the elements at -6.06 kcal/mol of atoms.



Entry 3:
VASP calculation (GGA-PBE) on an optimized crystal structure of Sm6Bi2SbTe3.

Cell: 19.5883 4.4938 8.9706 Å, 90.00 103.16 90.00°
Space group C2/m (No. 12)
Inequivalent atoms, fractional coordinates:
Sm (0.9997, 0.0000, 0.2416) [4 per cell]
Sm (0.1631, 0.5000, 0.0823) [4 per cell]
Sm (0.1664, 0.5000, 0.5829) [4 per cell]
Bi (0.1667, 0.0000, 0.3339) [4 per cell]
Sb (0.0000, 0.5000, 0.0000) [2 per cell]
Te (0.0000, 0.5000, 0.5000) [2 per cell]
Te (0.1679, 0.0000, 0.8341) [4 per cell]

Output
The calculation puts the total magnetic moment at 0.0000 μB/atom. The formation energy from raw total energies comes out at -1.224 eV per atom. As for the crystal system: monoclinic.



Entry 4:
VASP calculation (GGA-PBE) on an optimized crystal structure of PuTh2Tl2.

Cell: 5.3016 5.3016 11.8857 Å, 90.00 90.00 120.00°
Space group P6_3/mmc (No. 194)
Inequivalent atoms, fractional coordinates:
Pu (0.0000, 0.0000, 0.2500) [2 per cell]
Th (0.0000, 0.0000, 0.0000) [2 per cell]
Th (0.3333, 0.6667, 0.2500) [2 per cell]
Tl (0.3333, 0.6667, 0.6171) [4 per cell]

Output
The calculation puts the total magnetic moment at 1.4328 μB/atom. As for the crystal system: hexagonal. The calculation puts the formation energy from the elements at 1.01 kcal/mol of atoms.



| no. | E (eV per atom) |
| --- | --- |
| 1 | -6.4387 |
| 2 | -4.5858 |
| 3 | -5.3593 |
| 4 | -6.7371 |